# AcNd2Ho3 PBE relaxed
# symmetry	Cmcm, No. 63
# volume	424	Å³/cell
# energy relative to the elements	0.223	eV/atom
# E	-52.1	eV/cell
# theoretical density	7.9	Mg/m³
# excess energy over the best structure of this formula in the dataset	123	meV per atom
data_AcNd2Ho3
_chemical_formula_sum 'Ac2 Nd4 Ho6'
_cell_length_a 7.9705
_cell_length_b 7.9705
_cell_length_c 6.6802
_cell_angle_alpha 90.00
_cell_angle_beta 90.00
_cell_angle_gamma 87.67
_space_group_name_H-M_alt 'P 1'
_space_group_IT_number 1
loop_
_space_group_symop_operation_xyz
'x,y,z'
loop_
_atom_site_label
_atom_site_type_symbol
_atom_site_fract_x
_atom_site_fract_y
_atom_site_fract_z
Ac1 Ac 0.1166 0.8834 0.7500
Ac2 Ac 0.8834 0.1166 0.2500
Nd1 Nd 0.1033 0.5992 0.2500
Nd2 Nd 0.4008 0.8967 0.2500
Nd3 Nd 0.5992 0.1033 0.7500
Nd4 Nd 0.8967 0.4008 0.7500
Ho1 Ho 0.2543 0.2543 0.0000
Ho2 Ho 0.2543 0.2543 0.5000
Ho3 Ho 0.4369 0.5631 0.7500
Ho4 Ho 0.5631 0.4369 0.2500
Ho5 Ho 0.7457 0.7457 0.0000
Ho6 Ho 0.7457 0.7457 0.5000

# LaMgSb3 PBE relaxed
# symmetry	Pm-3m, No. 221
# volume	155	Å³/cell
# ΔE_f (raw)	-0.109	eV per atom
# E	-19.4	eV/cell
# theoretical density	5.7	Mg/m³
# excess energy over the best structure of this formula in the dataset	506	meV per atom
data_LaMgSb3
_chemical_formula_sum 'La1 Mg1 Sb3'
_cell_length_a 5.3704
_cell_length_b 5.3704
_cell_length_c 5.3704
_cell_angle_alpha 90.00
_cell_angle_beta 90.00
_cell_angle_gamma 90.00
_space_group_name_H-M_alt 'P 1'
_space_group_IT_number 1
loop_
_space_group_symop_operation_xyz
'x,y,z'
loop_
_atom_site_label
_atom_site_type_symbol
_atom_site_fract_x
_atom_site_fract_y
_atom_site_fract_z
La1 La 0.0000 0.0000 0.0000
Mg1 Mg 0.5000 0.5000 0.5000
Sb1 Sb 0.0000 0.5000 0.5000
Sb2 Sb 0.5000 0.0000 0.5000
Sb3 Sb 0.5000 0.5000 0.0000

# La2PrSn PBE relaxed
# symmetry	Fm-3m, No. 225
# volume	129	Å³/cell
# energy relative to the elements	-0.276	eV/atom
# E	-19.7	eV/cell
# theoretical density	6.9	Mg/m³
# excess energy over the best structure of this formula in the dataset	204	meV per atom
data_La2PrSn
_chemical_formula_sum 'La2 Pr1 Sn1'
_cell_length_a 5.6750
_cell_length_b 5.6750
_cell_length_c 5.6750
_cell_angle_alpha 60.00
_cell_angle_beta 60.00
_cell_angle_gamma 60.00
_space_group_name_H-M_alt 'P 1'
_space_group_IT_number 1
loop_
_space_group_symop_operation_xyz
'x,y,z'
loop_
_atom_site_label
_atom_site_type_symbol
_atom_site_fract_x
_atom_site_fract_y
_atom_site_fract_z
La1 La 0.2500 0.2500 0.2500
La2 La 0.7500 0.7500 0.7500
Pr1 Pr 0.0000 0.0000 0.0000
Sn1 Sn 0.5000 0.5000 0.5000

# ScRePdBr2 PBE relaxed
# symmetry	P4/mmm, No. 123
# volume	140	Å³/cell
# ΔE_f (raw)	0.840	eV per atom
# E	-23.1	eV/cell
# theoretical density	5.9	Mg/m³
data_ScRePdBr2
_chemical_formula_sum 'Sc1 Re1 Pd1 Br2'
_cell_length_a 5.0734
_cell_length_b 5.0734
_cell_length_c 5.4435
_cell_angle_alpha 90.00
_cell_angle_beta 90.00
_cell_angle_gamma 90.00
_space_group_name_H-M_alt 'P 1'
_space_group_IT_number 1
loop_
_space_group_symop_operation_xyz
'x,y,z'
loop_
_atom_site_label
_atom_site_type_symbol
_atom_site_fract_x
_atom_site_fract_y
_atom_site_fract_z
Sc1 Sc 0.0000 0.0000 0.0000
Re1 Re 0.0000 0.0000 0.5000
Pd1 Pd 0.5000 0.5000 0.5000
Br1 Br 0.0000 0.5000 0.0000
Br2 Br 0.5000 0.0000 0.0000

# Cs3Pm3WS8 PBE relaxed
# symmetry	R-3m, No. 166
# volume	467	Å³/cell
# ΔE_f (raw)	-1.465	eV per atom
# E	-84.8	eV/cell
# theoretical density	4.5	Mg/m³
data_Cs3Pm3WS8
_chemical_formula_sum 'Cs3 Pm3 W1 S8'
_cell_length_a 9.4729
_cell_length_b 9.4729
_cell_length_c 9.4729
_cell_angle_alpha 50.54
_cell_angle_beta 50.54
_cell_angle_gamma 50.54
_space_group_name_H-M_alt 'P 1'
_space_group_IT_number 1
loop_
_space_group_symop_operation_xyz
'x,y,z'
loop_
_atom_site_label
_atom_site_type_symbol
_atom_site_fract_x
_atom_site_fract_y
_atom_site_fract_z
Cs1 Cs 0.0000 0.5000 0.5000
Cs2 Cs 0.5000 0.0000 0.5000
Cs3 Cs 0.5000 0.5000 0.0000
Pm1 Pm 0.0000 0.0000 0.5000
Pm2 Pm 0.0000 0.5000 0.0000
Pm3 Pm 0.5000 0.0000 0.0000
W1 W 0.5000 0.5000 0.5000
S1 S 0.2292 0.2292 0.2292
S2 S 0.2593 0.7063 0.7063
S3 S 0.2937 0.2937 0.7407
S4 S 0.2937 0.7407 0.2937
S5 S 0.7063 0.2593 0.7063
S6 S 0.7063 0.7063 0.2593
S7 S 0.7407 0.2937 0.2937
S8 S 0.7708 0.7708 0.7708

# SrMgH4 PBE relaxed
# symmetry	Cmc2_1, No. 36
# volume	147	Å³/cell
# E	-38.3	eV/cell
# theoretical density	2.6	Mg/m³
data_SrMgH4
_chemical_formula_sum 'Sr2 Mg2 H8'
_cell_length_a 6.9982
_cell_length_b 6.9982
_cell_length_c 5.5607
_cell_angle_alpha 90.00
_cell_angle_beta 90.00
_cell_angle_gamma 147.21
_space_group_name_H-M_alt 'P 1'
_space_group_IT_number 1
loop_
_space_group_symop_operation_xyz
'x,y,z'
loop_
_atom_site_label
_atom_site_type_symbol
_atom_site_fract_x
_atom_site_fract_y
_atom_site_fract_z
Sr1 Sr 0.1512 0.8488 0.5000
Sr2 Sr 0.8488 0.1512 0.0000
Mg1 Mg 0.4155 0.5845 0.4555
Mg2 Mg 0.5845 0.4155 0.9555
H1 H 0.0743 0.9257 0.9238
H2 H 0.2993 0.7007 0.2517
H3 H 0.3331 0.6669 0.7324
H4 H 0.4601 0.5399 0.1116
H5 H 0.5399 0.4601 0.6116
H6 H 0.6669 0.3331 0.2324
H7 H 0.7007 0.2993 0.7517
H8 H 0.9257 0.0743 0.4238

# PrNdDy2H PBE relaxed
# symmetry	P4/mmm, No. 123
# volume	132	Å³/cell
# E	-22.9	eV/cell
# theoretical density	7.7	Mg/m³
data_PrNdDy2H
_chemical_formula_sum 'Pr1 Nd1 Dy2 H1'
_cell_length_a 5.0830
_cell_length_b 5.0830
_cell_length_c 5.1026
_cell_angle_alpha 90.00
_cell_angle_beta 90.00
_cell_angle_gamma 90.00
_space_group_name_H-M_alt 'P 1'
_space_group_IT_number 1
loop_
_space_group_symop_operation_xyz
'x,y,z'
loop_
_atom_site_label
_atom_site_type_symbol
_atom_site_fract_x
_atom_site_fract_y
_atom_site_fract_z
Pr1 Pr 0.0000 0.0000 0.0000
Nd1 Nd 0.5000 0.5000 0.0000
Dy1 Dy 0.0000 0.5000 0.5000
Dy2 Dy 0.5000 0.0000 0.5000
H1 H 0.5000 0.5000 0.5000

# Ac4Sn4Ge PBE relaxed
# symmetry	P4_2/n, No. 86
# volume	602	Å³/cell
# energy relative to the elements	-0.497	eV/atom
# E	-83.1	eV/cell
# theoretical density	8.0	Mg/m³
data_Ac4Sn4Ge
_chemical_formula_sum 'Ac8 Sn8 Ge2'
_cell_length_a 9.4109
_cell_length_b 9.4109
_cell_length_c 6.8025
_cell_angle_alpha 90.00
_cell_angle_beta 90.00
_cell_angle_gamma 90.00
_space_group_name_H-M_alt 'P 1'
_space_group_IT_number 1
loop_
_space_group_symop_operation_xyz
'x,y,z'
loop_
_atom_site_label
_atom_site_type_symbol
_atom_site_fract_x
_atom_site_fract_y
_atom_site_fract_z
Ac1 Ac 0.0526 0.8122 0.1316
Ac2 Ac 0.1878 0.5526 0.6316
Ac3 Ac 0.3122 0.9474 0.6316
Ac4 Ac 0.4474 0.6878 0.1316
Ac5 Ac 0.5526 0.3122 0.8684
Ac6 Ac 0.6878 0.0526 0.3684
Ac7 Ac 0.8122 0.4474 0.3684
Ac8 Ac 0.9474 0.1878 0.8684
Sn1 Sn 0.0502 0.1666 0.3676
Sn2 Sn 0.1666 0.4498 0.1324
Sn3 Sn 0.3334 0.0502 0.1324
Sn4 Sn 0.4498 0.3334 0.3676
Sn5 Sn 0.5502 0.6666 0.6324
Sn6 Sn 0.6666 0.9498 0.8676
Sn7 Sn 0.8334 0.5502 0.8676
Sn8 Sn 0.9498 0.8334 0.6324
Ge1 Ge 0.2500 0.2500 0.7500
Ge2 Ge 0.7500 0.7500 0.2500

# SrCoTe2 PBE relaxed
# symmetry	I-4m2, No. 119
# volume	108	Å³/cell
# ΔE_f (raw)	-0.701	eV per atom
# E	-17.9	eV/cell
# theoretical density	6.2	Mg/m³
data_SrCoTe2
_chemical_formula_sum 'Sr1 Co1 Te2'
_cell_length_a 6.4258
_cell_length_b 6.4258
_cell_length_c 6.4258
_cell_angle_alpha 140.22
_cell_angle_beta 140.22
_cell_angle_gamma 57.52
_space_group_name_H-M_alt 'P 1'
_space_group_IT_number 1
loop_
_space_group_symop_operation_xyz
'x,y,z'
loop_
_atom_site_label
_atom_site_type_symbol
_atom_site_fract_x
_atom_site_fract_y
_atom_site_fract_z
Sr1 Sr 0.0000 0.0000 0.0000
Co1 Co 0.2500 0.7500 0.5000
Te1 Te 0.3493 0.3493 0.0000
Te2 Te 0.6507 0.6507 0.0000

# AlCr3 PBE relaxed
# symmetry	P4/mmm, No. 123
# volume	52	Å³/cell
# energy relative to the elements	-0.053	eV/atom
# E	-32.8	eV/cell
# theoretical density	5.9	Mg/m³
data_AlCr3
_chemical_formula_sum 'Al1 Cr3'
_cell_length_a 2.9549
_cell_length_b 2.9549
_cell_length_c 5.9107
_cell_angle_alpha 90.00
_cell_angle_beta 90.00
_cell_angle_gamma 90.00
_space_group_name_H-M_alt 'P 1'
_space_group_IT_number 1
loop_
_space_group_symop_operation_xyz
'x,y,z'
loop_
_atom_site_label
_atom_site_type_symbol
_atom_site_fract_x
_atom_site_fract_y
_atom_site_fract_z
Al1 Al 0.0000 0.0000 0.0000
Cr1 Cr 0.0000 0.0000 0.5000
Cr2 Cr 0.5000 0.5000 0.2668
Cr3 Cr 0.5000 0.5000 0.7332